VASP calculation (PBE-GGA) on a relaxed structure of NiAgSe2.

```
NiAgSe2
1.0
-3.432 -1.010 0.127
1.909 0.237 3.019
-4.203 14.474 1.523
Ni Ag Se
2 2 4
Direct
0.000 0.000 0.500
0.000 0.000 0.000
0.333 0.667 0.250
0.667 0.333 0.750
0.333 0.667 0.417
0.667 0.333 0.917
0.667 0.333 0.583
0.333 0.667 0.083
```

For the energy relative to the elements, uncorrected, the calculation gives -145 meV per atom. The space-group type is P6_3/mmc, No. 194. The magnetization comes out at 0.00 μB per formula unit. As for the volume: 168.1 Å³/cell.


VASP calculation (PBE-GGA) on a relaxed structure of GdSc2Ni.

```
GdSc2Ni
1.0
3.262 0.000 0.000
0.000 3.262 0.000
0.000 0.000 8.293
Sc Ni Gd
2 1 1
Direct
0.000 0.000 0.819
0.000 0.000 0.181
0.500 0.500 0.000
0.500 0.500 0.500
```

The space-group type is P4/mmm, No. 123. The formation energy from the elements is -0.20 eV/atom. The magnetization comes out at 7.65 μB per formula unit. As for the volume: 88.2 Å³/cell.